Ba4Sb4Se11 PBE relaxed; SG = Pnnm; final energy = -4.329 eV/atom; crystal system = orthorhombic
1.0
9.172 0.000 0.000
0.000 28.190 0.000
0.000 0.000 9.301
Ba Sb Se
16 16 44
direct
0.066 0.210 0.248
0.066 0.210 0.752
0.156 0.559 0.247
0.156 0.559 0.753
0.344 0.059 0.253
0.344 0.059 0.747
0.434 0.710 0.252
0.434 0.710 0.748
0.566 0.290 0.252
0.566 0.290 0.748
0.656 0.941 0.253
0.656 0.941 0.747
0.844 0.441 0.247
0.844 0.441 0.753
0.934 0.790 0.248
0.934 0.790 0.752
0.039 0.927 0.000
0.083 0.936 0.500
0.133 0.343 0.500
0.136 0.340 0.000
0.364 0.840 0.500
0.367 0.843 0.000
0.417 0.436 0.000
0.461 0.427 0.500
0.539 0.573 0.500
0.583 0.564 0.000
0.633 0.157 0.000
0.636 0.160 0.500
0.864 0.660 0.000
0.867 0.657 0.500
0.917 0.064 0.500
0.961 0.073 0.000
0.000 0.000 0.298
0.000 0.000 0.702
0.038 0.674 0.223
0.038 0.674 0.777
0.097 0.469 0.000
0.099 0.471 0.500
0.148 0.118 0.500
0.178 0.883 0.206
0.178 0.883 0.794
0.195 0.126 0.000
0.212 0.762 0.500
0.228 0.763 0.000
0.272 0.263 0.500
0.288 0.262 0.000
0.305 0.626 0.500
0.322 0.383 0.294
0.322 0.383 0.706
0.352 0.618 0.000
0.401 0.971 0.000
0.403 0.969 0.500
0.462 0.174 0.277
0.462 0.174 0.723
0.500 0.500 0.202
0.500 0.500 0.798
0.538 0.826 0.277
0.538 0.826 0.723
0.597 0.031 0.500
0.599 0.029 0.000
0.648 0.382 0.000
0.678 0.617 0.294
0.678 0.617 0.706
0.695 0.374 0.500
0.712 0.738 0.000
0.728 0.737 0.500
0.772 0.237 0.000
0.788 0.238 0.500
0.805 0.874 0.000
0.822 0.117 0.206
0.822 0.117 0.794
0.852 0.882 0.500
0.901 0.529 0.500
0.903 0.531 0.000
0.962 0.326 0.223
0.962 0.326 0.777


BaSb4Se8 PBE relaxed; SG = F-43m; final energy = -3.936 eV/atom; crystal system = cubic
1.0
0.000 6.046 6.046
6.046 0.000 6.046
6.046 6.046 0.000
Ba Sb Se
1 4 8
direct
0.000 0.000 0.000
0.145 0.618 0.618
0.618 0.145 0.618
0.618 0.618 0.145
0.618 0.618 0.618
0.382 0.382 0.382
0.382 0.382 0.854
0.382 0.854 0.382
0.436 0.855 0.855
0.854 0.382 0.382
0.855 0.436 0.855
0.855 0.855 0.436
0.855 0.855 0.855


BaSi2SbSe8 PBE relaxed; SG = P-3; final energy = -4.222 eV/atom; crystal system = trigonal
1.0
6.436 0.000 0.000
-3.218 5.574 0.000
0.000 0.000 9.322
Ba Si Sb Se
1 2 1 8
direct
0.000 0.000 0.000
0.333 0.667 0.743
0.667 0.333 0.257
0.000 0.000 0.500
0.017 0.682 0.313
0.318 0.335 0.313
0.333 0.667 0.987
0.335 0.017 0.687
0.665 0.983 0.313
0.667 0.333 0.013
0.682 0.665 0.687
0.983 0.318 0.687


Ba4SiSb2Se11 PBE relaxed; SG = Cmc2_1; final energy = -4.437 eV/atom; crystal system = orthorhombic
1.0
4.768 -12.984 0.000
4.768 12.984 0.000
0.000 0.000 8.981
Ba Si Sb Se
8 2 4 22
direct
0.042 0.463 0.242
0.207 0.286 0.000
0.286 0.207 0.500
0.463 0.042 0.742
0.537 0.958 0.242
0.714 0.793 0.000
0.793 0.714 0.500
0.958 0.537 0.742
0.420 0.580 0.330
0.580 0.420 0.830
0.148 0.852 0.173
0.355 0.645 0.667
0.645 0.355 0.167
0.852 0.148 0.673
0.029 0.971 0.217
0.055 0.945 0.846
0.056 0.382 0.843
0.116 0.884 0.645
0.209 0.409 0.477
0.232 0.768 0.016
0.267 0.733 0.531
0.375 0.625 0.113
0.382 0.056 0.343
0.409 0.209 0.977
0.495 0.505 0.758
0.505 0.495 0.258
0.591 0.791 0.477
0.618 0.944 0.843
0.625 0.375 0.613
0.733 0.267 0.031
0.768 0.232 0.516
0.791 0.591 0.977
0.884 0.116 0.145
0.944 0.618 0.343
0.945 0.055 0.346
0.971 0.029 0.717


Ba2SnSbSe5 PBE relaxed; SG = Cmc2_1; final energy = -4.367 eV/atom; crystal system = orthorhombic
1.0
2.328 -9.552 0.000
2.328 9.552 0.000
0.000 0.000 12.916
Ba Sn Sb Se
4 2 2 10
direct
0.115 0.885 0.500
0.127 0.873 0.121
0.873 0.127 0.621
0.885 0.115 0.000
0.439 0.561 0.266
0.561 0.439 0.766
0.218 0.782 0.838
0.782 0.218 0.338
0.043 0.957 0.859
0.285 0.715 0.473
0.312 0.688 0.180
0.355 0.645 0.813
0.498 0.502 0.587
0.502 0.498 0.087
0.645 0.355 0.313
0.688 0.312 0.680
0.715 0.285 0.973
0.957 0.043 0.359


BaSb2TeSe PBE relaxed; SG = P4/mmm; final energy = -2.359 eV/atom; crystal system = tetragonal
1.0
6.477 0.000 0.000
0.000 6.477 0.000
0.000 0.000 6.372
Ba Sb Te Se
1 2 1 1
direct
0.000 0.000 0.000
0.000 0.500 0.000
0.500 0.000 0.000
0.000 0.000 0.500
0.500 0.500 0.500


BaSbTe2Se PBE relaxed; SG = P4/mmm; final energy = -3.535 eV/atom; crystal system = tetragonal
1.0
5.627 0.000 0.000
0.000 5.627 0.000
0.000 0.000 5.520
Ba Sb Te Se
1 1 2 1
direct
0.000 0.000 0.000
0.500 0.500 0.000
0.000 0.500 0.500
0.500 0.000 0.500
0.500 0.500 0.500


Ba2SbTeSe5 PBE relaxed; SG = Cmc2_1; final energy = -4.149 eV/atom; crystal system = orthorhombic
1.0
2.510 -9.022 0.000
2.510 9.022 0.000
0.000 0.000 13.176
Ba Sb Te Se
4 2 2 10
direct
0.106 0.894 0.500
0.135 0.865 0.148
0.865 0.135 0.648
0.894 0.106 0.000
0.442 0.558 0.241
0.558 0.442 0.741
0.214 0.786 0.864
0.786 0.214 0.364
0.028 0.972 0.809
0.292 0.708 0.450
0.319 0.681 0.137
0.355 0.645 0.826
0.479 0.521 0.575
0.521 0.479 0.075
0.645 0.355 0.326
0.681 0.319 0.637
0.708 0.292 0.950
0.972 0.028 0.309


BaSbTe2Se PBE relaxed; SG = P4/mmm; final energy = -2.356 eV/atom; crystal system = tetragonal
1.0
6.516 0.000 0.000
0.000 6.516 0.000
0.000 0.000 6.578
Ba Sb Te Se
1 1 2 1
direct
0.000 0.000 0.000
0.000 0.000 0.500
0.000 0.500 0.000
0.500 0.000 0.000
0.500 0.500 0.500


BaSb2TeSe PBE relaxed; SG = P4/mmm; final energy = -3.586 eV/atom; crystal system = tetragonal
1.0
5.536 0.000 0.000
0.000 5.536 0.000
0.000 0.000 5.656
Ba Sb Te Se
1 2 1 1
direct
0.000 0.000 0.000
0.000 0.500 0.500
0.500 0.000 0.500
0.500 0.500 0.000
0.500 0.500 0.500


BaTi2SbSe PBE relaxed; SG = P4/mmm; final energy = -5.057 eV/atom; crystal system = tetragonal
1.0
4.911 0.000 0.000
0.000 4.911 0.000
0.000 0.000 6.057
Ba Ti Sb Se
1 2 1 1
direct
0.000 0.000 0.000
0.000 0.500 0.500
0.500 0.000 0.500
0.500 0.500 0.000
0.500 0.500 0.500


Ba2TlSbSe5 PBE relaxed; SG = Cmc2_1; final energy = -4.158 eV/atom; crystal system = orthorhombic
1.0
2.193 -9.700 0.000
2.193 9.700 0.000
0.000 0.000 13.319
Ba Tl Sb Se
4 2 2 10
direct
0.115 0.885 0.500
0.131 0.869 0.121
0.869 0.131 0.621
0.885 0.115 0.000
0.442 0.558 0.262
0.558 0.442 0.762
0.217 0.783 0.832
0.783 0.217 0.332
0.045 0.955 0.881
0.283 0.717 0.474
0.308 0.692 0.179
0.353 0.647 0.813
0.496 0.504 0.584
0.504 0.496 0.084
0.647 0.353 0.313
0.692 0.308 0.679
0.717 0.283 0.974
0.955 0.045 0.381